[1]
The following is a DFT calculation (PBE-GGA) of a geometry-optimized KSbTe2C structure.

The space group is P4/mmm (No. 123) and the conventional cell measures 6.4701, 6.4701 and 6.3868 Å, with angles of 90.00, 90.00 and 90.00 degrees. The inequivalent atoms are K at (0.0000, 0.0000, 0.0000), Sb at (0.0000, 0.0000, 0.5000), Te at (0.0000, 0.5000, 0.0000) and C at (0.5000, 0.5000, 0.5000).

The calculation puts the total magnetization at 1.98 Bohr magnetons per cell. The calculation puts the formation energy (no corrections) at 11.60 eV/f.u. As for the energy relative to the lowest polymorph listed for this composition: 1.657 eV per atom.

[2]
The following is a DFT calculation (PBE-GGA) of a geometry-optimized K2Sc2C structure.

The space group is I4/mmm (No. 139) and the conventional cell measures 3.6061, 3.6061 and 18.7544 Å, with angles of 90.00, 90.00 and 90.00 degrees. The inequivalent atoms are K at (0.0000, 0.5000, 0.2500), Sc at (0.0000, 0.0000, 0.0657) and C at (0.0000, 0.0000, 0.5000).

The calculation puts the total magnetization at 2.90 Bohr magnetons per cell. The calculation puts the formation energy at 1.538 eV per atom. As for the energy relative to the lowest polymorph listed for this composition: 1.049 eV per atom.

[3]
The following is a DFT calculation (PBE-GGA) of a geometry-optimized K2Sc2C structure.

The space group is P4/mbm (No. 127) and the conventional cell measures 6.4229, 6.4229 and 6.9246 Å, with angles of 90.00, 90.00 and 90.00 degrees. The inequivalent atoms are K at (0.1990, 0.3010, 0.0000), Sc at (0.2138, 0.7138, 0.5000) and C at (0.0000, 0.0000, 0.5000).

The calculation puts the total magnetization at 0.00 Bohr magnetons per cell. The calculation puts the formation energy at 0.489 eV per atom. As for the energy relative to the lowest polymorph listed for this composition: 0.000 eV per atom.

[4]
The following is a DFT calculation (PBE-GGA) of a geometry-optimized K3ScC structure.

The space group is Pm-3m (No. 221) and the conventional cell measures 5.8594, 5.8594 and 5.8594 Å, with angles of 90.00, 90.00 and 90.00 degrees. The inequivalent atoms are K at (0.0000, 0.0000, 0.5000), Sc at (0.5000, 0.5000, 0.5000) and C at (0.0000, 0.0000, 0.0000).

The calculation puts the total magnetization at 0.18 Bohr magnetons per cell. The calculation puts the formation energy at 1.473 eV per atom. As for the energy relative to the lowest polymorph listed for this composition: 0.000 eV per atom.